! CaMg2Hg SCAN PBEsol geometry; values from VASP
&SYSTEM
  ibrav = 0, nat = 4, ntyp = 3
/
ATOMIC_SPECIES
Ca 40.08 Ca.upf
Mg 24.30 Mg.upf
Hg 200.59 Hg.upf
ATOMIC_POSITIONS angstrom
Ca 0.000 0.000 0.000
Mg 0.000 0.000 3.405
Mg 1.813 1.813 5.148
Hg 1.813 1.813 1.889
CELL_PARAMETERS angstrom
3.626 0.000 0.000
0.000 3.626 0.000
0.000 0.000 7.429
! Electronic total energy ... -22.267 eV/atom
! Symmetry ... P4mm
! DFT formation energy ... -0.323 eV per atom
! V ... 97.65 Å³ per cell
! DOS(E_F) ... 0.49 states/eV per atom

! RuPtBr2 SCAN PBEsol geometry; values from VASP
&SYSTEM
  ibrav = 0, nat = 4, ntyp = 3
/
ATOMIC_SPECIES
Ru 101.07 Ru.upf
Pt 195.08 Pt.upf
Br 79.90 Br.upf
ATOMIC_POSITIONS angstrom
Ru 0.000 0.000 0.000
Pt 2.999 0.000 0.000
Br 1.499 2.108 0.000
Br 1.499 -2.108 0.000
CELL_PARAMETERS angstrom
2.999 -4.217 0.000
2.999 4.217 0.000
-1.774 0.000 2.888
! Electronic total energy ... -35.091 eV/atom
! E_form (uncorrected) ... 0.893 eV per atom
! Symmetry ... C2/m
! V ... 73.05 Å³ per cell
! DOS(E_F) ... 0.80 states/eV per atom

! As2PtCl SCAN PBEsol geometry; values from VASP
&SYSTEM
  ibrav = 0, nat = 4, ntyp = 3
/
ATOMIC_SPECIES
As 74.92 As.upf
Pt 195.08 Pt.upf
Cl 35.45 Cl.upf
ATOMIC_POSITIONS angstrom
As 0.000 0.000 0.000
As 1.668 1.668 1.431
Pt 1.668 1.668 5.618
Cl 0.000 0.000 3.780
CELL_PARAMETERS angstrom
3.336 0.000 0.000
0.000 3.336 0.000
0.000 0.000 6.774
! Electronic total energy ... -29.532 eV/atom
! E_form (uncorrected) ... 0.106 eV per atom
! Symmetry ... P4mm
! V ... 75.38 Å³ per cell
! DOS(E_F) ... 0.46 states/eV per atom

! MnAsCSe2 SCAN PBEsol geometry; values from VASP
&SYSTEM
  ibrav = 0, nat = 5, ntyp = 4
/
ATOMIC_SPECIES
Mn 54.94 Mn.upf
As 74.92 As.upf
C 12.01 C.upf
Se 78.96 Se.upf
ATOMIC_POSITIONS angstrom
Mn 0.000 0.000 0.000
As 0.000 0.000 2.287
C 2.309 2.309 2.287
Se 0.000 2.309 0.000
Se 2.309 0.000 0.000
CELL_PARAMETERS angstrom
4.618 0.000 0.000
0.000 4.618 0.000
0.000 0.000 4.573
! Electronic total energy ... -16.217 eV/atom
! E_form (uncorrected) ... 1.524 eV per atom
! Symmetry ... P4/mmm
! V ... 97.52 Å³ per cell
! DOS(E_F) ... 0.83 states/eV per atom

! Ga7Pd3 SCAN PBEsol geometry; values from VASP
&SYSTEM
  ibrav = 0, nat = 20, ntyp = 2
/
ATOMIC_SPECIES
Ga 69.72 Ga.upf
Pd 106.42 Pd.upf
ATOMIC_POSITIONS angstrom
Ga 1.433 1.433 -1.433
Ga 2.929 2.929 -2.929
Ga 1.433 -1.433 1.433
Ga 2.929 -2.929 2.929
Ga 4.362 2.181 0.000
Ga 4.362 0.000 2.181
Ga -1.433 1.433 1.433
Ga 1.433 1.433 1.433
Ga 2.181 4.362 0.000
Ga 2.181 0.000 4.362
Ga -2.929 2.929 2.929
Ga 2.929 2.929 2.929
Ga 0.000 4.362 2.181
Ga 0.000 2.181 4.362
Pd 2.998 0.000 0.000
Pd 5.726 0.000 0.000
Pd 0.000 2.998 0.000
Pd 0.000 0.000 2.998
Pd 0.000 5.726 0.000
Pd 0.000 0.000 5.726
CELL_PARAMETERS angstrom
-4.362 4.362 4.362
4.362 -4.362 4.362
4.362 4.362 -4.362
! Electronic total energy ... -21.724 eV/atom
! Symmetry ... Im-3m
! DFT formation energy ... -0.449 eV per atom
! V ... 331.92 Å³ per cell
! DOS(E_F) ... 0.12 states/eV per atom

! SnCSO2 SCAN PBEsol geometry; values from VASP
&SYSTEM
  ibrav = 0, nat = 5, ntyp = 4
/
ATOMIC_SPECIES
Sn 118.71 Sn.upf
C 12.01 C.upf
S 32.06 S.upf
O 16.00 O.upf
ATOMIC_POSITIONS angstrom
Sn 0.000 0.000 0.000
C 1.836 1.836 1.959
S 1.836 1.836 0.000
O 0.000 1.836 1.959
O 1.836 0.000 1.959
CELL_PARAMETERS angstrom
3.671 0.000 0.000
0.000 3.671 0.000
0.000 0.000 3.918
! Electronic total energy ... -12.979 eV/atom
! E_form (uncorrected) ... 0.644 eV per atom
! Symmetry ... P4/mmm
! V ... 52.80 Å³ per cell
! DOS(E_F) ... 0.12 states/eV per atom

! Rb2TiW3O12 SCAN PBEsol geometry; values from VASP
&SYSTEM
  ibrav = 0, nat = 18, ntyp = 4
/
ATOMIC_SPECIES
Rb 85.47 Rb.upf
Ti 47.87 Ti.upf
W 183.84 W.upf
O 16.00 O.upf
ATOMIC_POSITIONS angstrom
Rb 0.176 0.000 2.253
Rb 8.124 0.000 3.708
Ti 6.180 0.584 0.000
W -0.895 -1.541 5.869
W 4.150 0.291 2.981
W 9.195 -1.541 0.092
O 0.782 1.908 5.617
O -1.536 0.452 5.603
O 3.309 1.807 1.883
O 2.652 0.539 4.088
O 7.518 1.908 0.344
O 4.991 1.807 4.078
O 0.794 -0.824 5.611
O 5.647 0.539 1.873
O 3.352 -0.920 1.847
O 7.506 -0.824 0.350
O 4.948 -0.920 4.114
O 9.835 0.452 0.358
CELL_PARAMETERS angstrom
6.180 -3.689 0.000
6.180 3.689 0.000
-4.060 0.000 5.961
! Electronic total energy ... -21.466 eV/atom
! E_form (uncorrected) ... -2.502 eV per atom
! Symmetry ... C2
! V ... 271.81 Å³ per cell
! DOS(E_F) ... 0.00 states/eV per atom

! Na8SnO6 SCAN PBEsol geometry; values from VASP
&SYSTEM
  ibrav = 0, nat = 15, ntyp = 3
/
ATOMIC_SPECIES
Na 22.99 Na.upf
Sn 118.71 Sn.upf
O 16.00 O.upf
ATOMIC_POSITIONS angstrom
Na -1.280 -1.969 6.479
Na 1.280 1.969 10.356
Na 0.000 0.000 2.673
Na -2.345 0.124 10.356
Na -1.065 2.093 6.479
Na 1.065 -2.093 10.356
Na 2.345 -0.124 6.479
Na 0.000 0.000 14.162
Sn 0.000 0.000 8.417
O -1.794 0.078 7.197
O -0.965 -1.515 9.638
O 0.829 -1.593 7.197
O -0.829 1.593 9.638
O 0.965 1.515 7.197
O 1.794 -0.078 9.638
CELL_PARAMETERS angstrom
3.142 1.814 5.612
-3.142 1.814 5.612
0.000 -3.628 5.612
! Electronic total energy ... -8.674 eV/atom
! E_form (uncorrected) ... -1.539 eV per atom
! Symmetry ... R-3
! V ... 191.94 Å³ per cell
! DOS(E_F) ... 0.00 states/eV per atom

! SrAl2Ni SCAN PBEsol geometry; values from VASP
&SYSTEM
  ibrav = 0, nat = 4, ntyp = 3
/
ATOMIC_SPECIES
Sr 87.62 Sr.upf
Al 26.98 Al.upf
Ni 58.69 Ni.upf
ATOMIC_POSITIONS angstrom
Sr 0.000 0.000 0.000
Al 0.000 0.000 3.233
Al 0.000 2.663 1.380
Ni 2.250 0.000 2.426
CELL_PARAMETERS angstrom
-2.250 2.663 3.483
2.250 -2.663 3.483
2.250 2.663 -3.483
! Electronic total energy ... -13.446 eV/atom
! Symmetry ... Imm2
! DFT formation energy ... 0.042 eV per atom
! V ... 83.45 Å³ per cell
! DOS(E_F) ... 0.55 states/eV per atom

! SnPtSe2 SCAN PBEsol geometry; values from VASP
&SYSTEM
  ibrav = 0, nat = 4, ntyp = 3
/
ATOMIC_SPECIES
Sn 118.71 Sn.upf
Pt 195.08 Pt.upf
Se 78.96 Se.upf
ATOMIC_POSITIONS angstrom
Sn 0.000 0.000 0.000
Pt 0.000 0.000 12.811
Se 0.000 0.000 2.921
Se 0.000 0.000 22.702
CELL_PARAMETERS angstrom
1.823 1.053 8.541
-1.823 1.053 8.541
0.000 -2.105 8.541
! Electronic total energy ... -36.788 eV/atom
! E_form (uncorrected) ... -0.220 eV per atom
! Symmetry ... R-3m
! V ... 98.34 Å³ per cell
! DOS(E_F) ... 0.49 states/eV per atom

! SrFeSe2 SCAN PBEsol geometry; values from VASP
&SYSTEM
  ibrav = 0, nat = 4, ntyp = 3
/
ATOMIC_SPECIES
Sr 87.62 Sr.upf
Fe 55.84 Fe.upf
Se 78.96 Se.upf
ATOMIC_POSITIONS angstrom
Sr 0.000 0.000 0.000
Fe 2.018 2.018 3.273
Se 0.000 0.000 2.990
Se 2.018 2.018 5.673
CELL_PARAMETERS angstrom
4.036 0.000 0.000
0.000 4.036 0.000
0.000 0.000 6.124
! Electronic total energy ... -21.136 eV/atom
! E_form (uncorrected) ... -0.995 eV per atom
! Symmetry ... P4mm
! V ... 99.76 Å³ per cell

! LaZrTc2 SCAN PBEsol geometry; values from VASP
&SYSTEM
  ibrav = 0, nat = 4, ntyp = 3
/
ATOMIC_SPECIES
La 138.91 La.upf
Zr 91.22 Zr.upf
Tc 98.00 Tc.upf
ATOMIC_POSITIONS angstrom
La 0.000 0.000 0.000
Zr 0.000 0.000 4.415
Tc 1.641 0.000 2.304
Tc 1.641 0.000 6.525
CELL_PARAMETERS angstrom
1.641 -2.542 0.000
1.641 2.542 0.000
0.000 0.000 8.830
! Electronic total energy ... -35.792 eV/atom
! Symmetry ... Cmmm
! DFT formation energy ... 0.189 eV per atom
! V ... 73.66 Å³ per cell
! DOS(E_F) ... 0.79 states/eV per atom

> Look up the V of the twelfth one.

73.66 Å³ per cell